Record 1
The following is a DFT calculation (PBE) of a relaxed structure of Zr6AgPd12.

```
Zr6AgPd12
1.0
-0.943 6.810 -1.481
-3.776 -2.299 -5.470
-5.345 -0.334 4.559
Pd Zr Ag
12 6 1
Direct
0.463 0.513 0.210
0.790 0.537 0.487
0.873 0.627 0.958
0.958 0.873 0.627
0.627 0.958 0.873
0.537 0.487 0.790
0.513 0.210 0.463
0.487 0.790 0.537
0.127 0.373 0.042
0.210 0.463 0.513
0.373 0.042 0.127
0.042 0.127 0.373
0.763 0.311 0.155
0.155 0.763 0.311
0.689 0.845 0.237
0.311 0.155 0.763
0.237 0.689 0.845
0.845 0.237 0.689
0.000 0.000 0.000
```

Results
**M_tot**: 0.00 μB per formula unit
**V**: 344 Å³ per cell
**Formation energy**: -0.5063 eV per atom

Record 2
The following is a DFT calculation (PBE) of a relaxed structure of ZrAg2Pd5.

```
ZrAg2Pd5
1.0
0.167 -1.243 -3.907
-2.164 -3.347 0.973
-5.676 6.170 -0.050
Pd Zr Ag
5 1 2
Direct
0.878 0.378 0.756
0.622 0.122 0.244
0.500 0.500 0.000
0.122 0.622 0.244
0.378 0.878 0.756
0.000 0.000 0.000
0.251 0.251 0.502
0.749 0.749 0.498
```

Results
**M_tot**: 0.00 μB per formula unit
**V**: 132 Å³ per cell
**Formation energy**: -0.4390 eV per atom

Record 3
The following is a DFT calculation (PBE) of a relaxed structure of ZrAg3Pd6.

```
ZrAg3Pd6
1.0
4.123 0.000 0.000
0.000 8.857 -0.326
0.000 -0.105 9.166
Ag Pd Zr
6 12 2
Direct
0.250 0.345 0.801
0.250 0.749 0.000
0.250 0.552 0.400
0.750 0.655 0.199
0.750 0.251 0.000
0.750 0.448 0.600
0.250 0.451 0.100
0.250 0.239 0.500
0.750 0.354 0.299
0.750 0.951 0.098
0.250 0.862 0.310
0.750 0.549 0.900
0.250 0.049 0.902
0.750 0.761 0.500
0.750 0.844 0.800
0.750 0.138 0.690
0.250 0.156 0.200
0.250 0.646 0.701
0.250 0.934 0.627
0.750 0.066 0.373
```

Results
**M_tot**: 0.00 μB per formula unit
**V**: 335 Å³ per cell
**Formation energy**: -0.3012 eV per atom